Entry 1:
Entry from Alexandria: an optimized crystal structure of Pa6Te3P2S (GGA-PBE).

abc: 7.0058 12.1409 7.4587
angles: 90.00 108.27 90.00
Space group C2/m (No. 12)
Asymmetric unit:
Pa 0.2334 0.1659 0.2035
Pa 0.2372 0.5000 0.2050
Te 0.0000 0.1683 0.5000
Te 0.0000 0.5000 0.5000
P 0.0000 0.3338 0.0000
S 0.0000 0.0000 0.0000

E_tot: -188.23 eV for the cell shown
formation energy without anion corrections: -1.064 eV/atom

=====

Entry 2:
Entry from Alexandria: an optimized crystal structure of YHo2In (GGA-PBE).

abc: 3.5794 3.5794 9.1801
angles: 90.00 90.00 90.00
Space group P4/mmm (No. 123)
Asymmetric unit:
Y 0.0000 0.0000 0.0000
Ho 0.5000 0.5000 0.2741
In 0.0000 0.0000 0.5000

E_tot: -19.29 eV for the cell shown
energy relative to the lowest polymorph listed for this composition: 3.3 kJ/mol of atoms
ΔH_f (0 K): -233.3 meV/atom

=====

Entry 3:
Entry from Alexandria: an optimized crystal structure of GaTcO3 (GGA-PBE).

abc: 3.7848 3.7848 3.7848
angles: 90.00 90.00 90.00
Space group Pm-3m (No. 221)
Asymmetric unit:
Ga 0.0000 0.0000 0.0000
Tc 0.5000 0.5000 0.5000
O 0.0000 0.0000 0.5000

E_tot: -30.68 eV for the cell shown
formation energy without anion corrections: -0.483 eV/atom

=====

Entry 4:
Entry from Alexandria: an optimized crystal structure of IrRh2Cl (GGA-PBE).

abc: 2.7639 4.6405 4.7036
angles: 90.00 90.00 90.00
Space group Pmmm (No. 47)
Asymmetric unit:
Ir 0.0000 0.0000 0.0000
Rh 0.0000 0.5000 0.5000
Rh 0.5000 0.5000 0.0000
Cl 0.5000 0.0000 0.5000

E_tot: -22.37 eV for the cell shown
energy relative to the lowest polymorph listed for this composition: 46.9 kJ/mol of atoms
formation energy without anion corrections: 0.760 eV/atom

=====

Entry 5:
Entry from Alexandria: an optimized crystal structure of KLi2CuO2 (GGA-PBE).

abc: 5.1501 8.9543 3.5434
angles: 90.00 90.00 90.00
Space group Pnnm (No. 58)
Asymmetric unit:
K 0.0000 0.0000 0.0000
Li 0.0250 0.2760 0.5000
Cu 0.0000 0.5000 0.0000
O 0.1877 0.3273 0.0000

E_tot: -53.93 eV for the cell shown
formation energy without anion corrections: -1.338 eV/atom

=====

Entry 6:
Entry from Alexandria: an optimized crystal structure of HoReC2 (GGA-PBE).

abc: 3.2163 3.2163 16.3481
angles: 90.00 90.00 120.00
Space group R-3m (No. 166, hexagonal axes)
Asymmetric unit:
Ho 0.0000 0.0000 0.0000
Re 0.0000 0.0000 0.5000
C 0.0000 0.0000 0.2377

E_tot: -106.30 eV for the cell shown
energy relative to the lowest polymorph listed for this composition: 19.8 kJ/mol of atoms
ΔH_f (0 K): 10.0 meV/atom